# 1
Compound: CaHg3Se
Source: the Alexandria database
Functional: PBE
Structure: optimized geometry

Lattice parameters (Å, degrees): 5.480 5.480 5.480 90.00 90.00 90.00
Fractional coordinates of all 5 atoms:
Ca: 0.500 0.500 0.500
Hg: 0.000 0.500 0.000
Hg: 0.000 0.000 0.500
Hg: 0.500 0.000 0.000
Se: 0.000 0.000 0.000

Computed properties:
Energy relative to the lowest polymorph listed for this composition   0.000 eV per atom
Size of the total moment   0.00 μB per formula unit
Formation energy (no corrections)   97 meV/atom
Raw total energy   -1.18 eV per atom
Calculated volume   164.5 Å³/cell

# 2
Compound: LiCe2H8
Source: the Alexandria database
Functional: PBE
Structure: optimized geometry

Lattice parameters (Å, degrees): 3.838 4.891 6.387 112.50 107.49 90.00
Each line ends with the local moment (μB).
Fractional coordinates of all 11 atoms:
Li: 0.500 0.000 0.000  0.00
Ce: 0.827 0.327 0.655  0.51
Ce: 0.173 0.673 0.345  0.51
H: 0.355 0.606 0.711  -0.01
H: 0.645 0.895 0.289  -0.01
H: 0.798 0.798 0.596  -0.01
H: 0.000 0.266 0.000  0.00
H: 0.202 0.202 0.404  -0.01
H: 0.355 0.105 0.711  -0.01
H: 0.645 0.394 0.289  -0.01
H: 0.000 0.734 0.000  0.00

Computed properties:
Size of the total moment   1.06 μB per formula unit
Raw total energy   -4.09 eV per atom
Calculated volume   104.7 Å³/cell